A geometry-optimized CsGaSb2I structure. Source: Alexandria, functional PBE-GGA.

Cell lengths 6.536, 6.536, 6.988 Å; angles 90.00, 90.00, 90.00 degrees
Last column: magnetic moment on the atom in μB.
Fractional coordinates of all 5 atoms:
I  0.000  0.000  0.500  0.10
Cs  0.000  0.000  0.000  0.01
Ga  0.500  0.500  0.500  0.00
Sb  0.500  0.000  0.000  0.40
Sb  0.000  0.500  0.000  0.40

Summary:
As for the formation energy (no corrections): 0.92 eV/atom. The calculation puts the excess energy over the best structure of this formula in the dataset at 5.09 eV per formula unit. For the volume, the calculation gives 59.71 A^3/atom. Its total magnetization is 0.4794 μB/atom.



A geometry-optimized Cs2ScGaI6 structure. Source: Alexandria, functional PBE-GGA.

Cell lengths 8.628, 8.628, 8.630 Å; angles 60.01, 60.01, 90.00 degrees
Fractional coordinates of all 10 atoms:
I  0.738  0.738  0.524
I  0.262  0.738  0.000
I  0.738  0.738  0.000
I  0.262  0.262  0.000
I  0.262  0.262  0.476
I  0.738  0.262  0.000
Cs  0.750  0.250  0.500
Cs  0.250  0.750  0.500
Sc  0.500  0.500  0.000
Ga  0.000  0.000  0.000

Summary:
As for the formation energy (no corrections): -1.20 eV/atom. For the volume, the calculation gives 45.44 A^3/atom. Its total magnetization is 0.0000 μB/atom.



A geometry-optimized Cs2GaSeI6 structure. Source: Alexandria, functional PBE-GGA.

Cell lengths 8.475, 8.475, 8.473 Å; angles 59.99, 59.99, 90.00 degrees
Fractional coordinates of all 10 atoms:
I  0.735  0.265  0.000
I  0.265  0.735  0.000
I  0.234  0.234  0.532
I  0.735  0.735  0.000
I  0.766  0.766  0.468
I  0.265  0.265  0.000
Se  0.000  0.000  0.000
Cs  0.750  0.250  0.500
Cs  0.250  0.750  0.500
Ga  0.500  0.500  0.000

Summary:
As for the formation energy (no corrections): -0.71 eV/atom. For the volume, the calculation gives 43.03 A^3/atom. Its total magnetization is 0.0000 μB/atom.



Among the records above, which one has the highest formation energy (no corrections)?
CsGaSb2I